Record 1
This record from the Alexandria database describes a geometry-optimized K4U3NiO12 structure. The functional is PBE+U.

Lattice parameters (Å, degrees): 7.374 7.374 7.374 109.47 109.47 109.47
Fractional coordinates of all 20 atoms:
K 0.000 0.000 0.500
K 0.000 0.500 0.000
K 0.500 0.000 0.000
K 0.500 0.500 0.500
U 0.000 0.500 0.500
U 0.500 0.000 0.500
U 0.500 0.500 0.000
Ni 0.000 0.000 0.000
O 0.000 0.265 0.265
O 0.000 0.735 0.735
O 0.250 0.500 0.750
O 0.250 0.750 0.500
O 0.265 0.000 0.265
O 0.265 0.265 0.000
O 0.500 0.250 0.750
O 0.500 0.750 0.250
O 0.735 0.000 0.735
O 0.735 0.735 0.000
O 0.750 0.250 0.500
O 0.750 0.500 0.250

Results
- DFT total energy: -7.612 eV per atom
- SG: Im-3m (229)
- M_tot: 0.09 μB/atom
- Calculated density: 6.0 Mg/m³

***

Record 2
This record from the Alexandria database describes a geometry-optimized K3UNi2O6 structure. The functional is PBE+U.

Lattice parameters (Å, degrees): 5.768 5.768 6.911 107.55 107.55 104.02
Fractional coordinates of all 12 atoms:
K 0.000 0.000 0.000
K 0.336 0.664 0.000
K 0.664 0.336 0.000
U 0.000 0.000 0.500
Ni 0.338 0.662 0.500
Ni 0.662 0.338 0.500
O 0.097 0.748 0.271
O 0.252 0.903 0.729
O 0.354 0.354 0.571
O 0.646 0.646 0.429
O 0.748 0.097 0.271
O 0.903 0.252 0.729

Results
- DFT total energy: -5.920 eV per atom
- SG: C2/m (12)
- M_tot: 0.25 μB/atom
- Calculated density: 4.9 Mg/m³

***

Record 3
This record from the Alexandria database describes a geometry-optimized KUNi2O5 structure. The functional is PBE+U.

Lattice parameters (Å, degrees): 6.039 6.039 6.039 133.86 121.68 77.40
Fractional coordinates of all 9 atoms:
K 0.000 0.000 0.000
U 0.500 0.500 0.000
Ni 0.281 0.781 0.500
Ni 0.719 0.219 0.500
O 0.105 0.348 0.757
O 0.409 0.652 0.757
O 0.500 0.000 0.500
O 0.591 0.348 0.243
O 0.895 0.652 0.243

Results
- DFT total energy: -6.486 eV per atom
- SG: Immm (71)
- M_tot: 0.33 μB/atom
- Calculated density: 6.0 Mg/m³

***

Record 4
This record from the Alexandria database describes a geometry-optimized KV4Ni3O12 structure. The functional is PBE+U.

Lattice parameters (Å, degrees): 6.910 6.910 6.910 110.15 110.15 110.15
Fractional coordinates of all 20 atoms:
K 0.000 0.000 0.000
V 0.065 0.500 0.935
V 0.500 0.500 0.500
V 0.500 0.935 0.065
V 0.935 0.065 0.500
Ni 0.000 0.566 0.434
Ni 0.434 0.000 0.566
Ni 0.566 0.434 0.000
O 0.089 0.911 0.500
O 0.118 0.662 0.782
O 0.218 0.338 0.882
O 0.338 0.882 0.218
O 0.347 0.653 0.500
O 0.500 0.089 0.911
O 0.500 0.347 0.653
O 0.653 0.500 0.347
O 0.662 0.782 0.118
O 0.782 0.118 0.662
O 0.882 0.218 0.338
O 0.911 0.500 0.089

Results
- DFT total energy: -6.384 eV per atom
- SG: R32 (155)
- M_tot: 0.45 μB/atom
- Calculated density: 4.1 Mg/m³

***

Record 5
This record from the Alexandria database describes a geometry-optimized KVNi2O structure. The functional is PBE+U.

Lattice parameters (Å, degrees): 4.260 4.260 4.542 90.00 90.00 90.00
Fractional coordinates of all 5 atoms:
K 0.000 0.000 0.000
V 0.500 0.500 0.500
Ni 0.000 0.500 0.000
Ni 0.500 0.000 0.000
O 0.000 0.000 0.500

Results
- DFT total energy: -1.176 eV per atom
- SG: P4/mmm (123)
- M_tot: 0.00 μB/atom
- Calculated density: 4.5 Mg/m³

***

Record 6
This record from the Alexandria database describes a geometry-optimized K3V2NiO8 structure. The functional is PBE+U.

Lattice parameters (Å, degrees): 5.769 5.769 7.542 90.00 90.00 120.00
Fractional coordinates of all 14 atoms:
K 0.000 0.000 0.000
K 0.333 0.667 0.682
K 0.667 0.333 0.318
V 0.333 0.667 0.256
V 0.667 0.333 0.744
Ni 0.000 0.000 0.500
O 0.168 0.336 0.334
O 0.168 0.832 0.334
O 0.333 0.667 0.029
O 0.336 0.168 0.666
O 0.664 0.832 0.334
O 0.667 0.333 0.971
O 0.832 0.168 0.666
O 0.832 0.664 0.666

Results
- DFT total energy: -6.048 eV per atom
- SG: P-3m1 (164)
- M_tot: 0.06 μB/atom
- Calculated density: 3.1 Mg/m³

***

Record 7
This record from the Alexandria database describes a geometry-optimized K2VNiO4 structure. The functional is PBE+U.

Lattice parameters (Å, degrees): 5.503 5.503 5.503 113.63 113.63 101.44
Fractional coordinates of all 8 atoms:
K 0.000 0.000 0.000
K 0.750 0.250 0.500
V 0.250 0.750 0.500
Ni 0.500 0.500 0.000
O 0.273 0.100 0.582
O 0.309 0.727 0.827
O 0.518 0.691 0.418
O 0.900 0.482 0.173

Results
- DFT total energy: -5.622 eV per atom
- SG: I-4 (82)
- M_tot: 0.13 μB/atom
- Calculated density: 3.3 Mg/m³

***

Record 8
This record from the Alexandria database describes a geometry-optimized KNiWO4 structure. The functional is PBE+U.

Lattice parameters (Å, degrees): 6.565 5.962 6.788 90.00 105.66 90.00
Fractional coordinates of all 14 atoms:
K 0.011 0.250 0.277
K 0.989 0.750 0.723
Ni 0.485 0.250 0.039
Ni 0.515 0.750 0.961
W 0.355 0.750 0.285
W 0.645 0.250 0.715
O 0.129 0.750 0.388
O 0.328 0.513 0.102
O 0.328 0.987 0.102
O 0.401 0.250 0.518
O 0.599 0.750 0.482
O 0.672 0.013 0.898
O 0.672 0.487 0.898
O 0.871 0.250 0.612

Results
- DFT total energy: -5.933 eV per atom
- SG: P2_1/m (11)
- M_tot: 0.14 μB/atom
- Calculated density: 4.5 Mg/m³

***

Record 9
This record from the Alexandria database describes a geometry-optimized K2NiW3O12 structure. The functional is PBE+U.

Lattice parameters (Å, degrees): 7.103 7.103 7.103 62.09 62.09 62.09
Fractional coordinates of all 18 atoms:
K 0.138 0.138 0.138
K 0.862 0.862 0.862
Ni 0.500 0.500 0.500
W 0.000 0.500 0.500
W 0.500 0.000 0.500
W 0.500 0.500 0.000
O 0.181 0.181 0.556
O 0.181 0.556 0.181
O 0.196 0.561 0.561
O 0.439 0.439 0.804
O 0.439 0.804 0.439
O 0.444 0.819 0.819
O 0.556 0.181 0.181
O 0.561 0.196 0.561
O 0.561 0.561 0.196
O 0.804 0.439 0.439
O 0.819 0.444 0.819
O 0.819 0.819 0.444

Results
- DFT total energy: -6.509 eV per atom
- SG: R-3m (166)
- M_tot: 0.00 μB/atom
- Calculated density: 5.5 Mg/m³

***

Record 10
This record from the Alexandria database describes a geometry-optimized KZnNiO2 structure. The functional is PBE+U.

Lattice parameters (Å, degrees): 6.196 3.859 6.453 90.00 97.57 90.00
Fractional coordinates of all 10 atoms:
K 0.000 0.209 0.250
K 0.000 0.791 0.750
Zn 0.500 0.000 0.000
Zn 0.500 0.000 0.500
Ni 0.500 0.495 0.750
Ni 0.500 0.505 0.250
O 0.292 0.357 0.971
O 0.292 0.643 0.471
O 0.708 0.357 0.529
O 0.708 0.643 0.029

Results
- DFT total energy: -3.867 eV per atom
- SG: P2/c (13)
- M_tot: 0.20 μB/atom
- Calculated density: 4.2 Mg/m³

***

Record 11
This record from the Alexandria database describes a geometry-optimized K2ZnNiO structure. The functional is PBE+U.

Lattice parameters (Å, degrees): 6.016 6.016 4.547 90.00 90.00 90.00
Fractional coordinates of all 5 atoms:
K 0.000 0.500 0.000
K 0.500 0.000 0.000
Zn 0.000 0.000 0.000
Ni 0.000 0.000 0.500
O 0.500 0.500 0.500

Results
- DFT total energy: -1.739 eV per atom
- SG: P4/mmm (123)
- M_tot: 0.11 μB/atom
- Calculated density: 2.2 Mg/m³